Arrangement 1

Mn2SbN2 | PBE | optimized geometry

abc: 6.741 6.741 2.669
angles: 90.00 90.00 90.00
Fractional coordinates of all 10 atoms:
Sb (0.500, 0.500, 0.000)
Sb (0.000, 0.000, 0.000)
N (0.387, 0.113, 0.500)
N (0.113, 0.613, 0.500)
N (0.887, 0.387, 0.500)
N (0.613, 0.887, 0.500)
Mn (0.886, 0.614, 0.000)
Mn (0.114, 0.386, 0.000)
Mn (0.614, 0.114, 0.000)
Mn (0.386, 0.886, 0.000)

Calculated values
density = 7.11 g cm⁻³
calculated volume = 61 Å³/f.u.



Arrangement 2

Mn2SbN2 | PBE | optimized geometry

abc: 3.338 3.338 6.121
angles: 74.17 74.17 90.00
Fractional coordinates of all 5 atoms:
N (0.250, 0.750, 0.500)
N (0.750, 0.250, 0.500)
Mn (0.667, 0.667, 0.665)
Mn (0.333, 0.333, 0.335)
Sb (0.000, 0.000, 0.000)

Calculated values
density = 6.85 g cm⁻³
calculated volume = 63 Å³/f.u.



arrangement 2 takes first place; second place is 47.1 kJ/mol of atoms up.



Arrangement 1

Mn2SbN | PBE | optimized geometry

abc: 4.308 4.308 4.308
angles: 60.00 60.00 60.00
Fractional coordinates of all 4 atoms:
Mn (0.750, 0.750, 0.750)
Mn (0.250, 0.250, 0.250)
N (0.000, 0.000, 0.000)
Sb (0.500, 0.500, 0.500)

Calculated values
density = 7.22 g cm⁻³
calculated volume = 57 Å³/f.u.



Arrangement 2

Mn2SbN | PBE | optimized geometry

abc: 3.814 3.814 9.627
angles: 90.00 90.00 90.00
Fractional coordinates of all 8 atoms:
Mn (0.000, 0.000, 0.500)
Mn (0.500, 0.000, 0.964)
Mn (0.500, 0.500, 0.500)
Mn (0.000, 0.500, 0.036)
Sb (0.000, 0.500, 0.314)
Sb (0.500, 0.000, 0.686)
N (0.000, 0.000, 0.000)
N (0.500, 0.500, 0.000)

Calculated values
density = 5.83 g cm⁻³
calculated volume = 70 Å³/f.u.



arrangement 2 takes first place; second place is 75.9 kJ/mol of atoms up.